(1)
Below is an optimized crystal structure of HoSi2Ni9, with properties calculated at the PBE level.

Results
D(E_F) (states/eV per atom): 0.81
Raw total energy (eV per atom): -6.1076
Formation energy without anion corrections (eV per atom): -0.49
Space group: I4_1/amd

Unit cell a=7.563 b=7.563 c=7.563 alpha=99.53 beta=99.53 gamma=131.97
Fractional coordinates of all 24 atoms:
Ho (0.375, 0.625, 0.750)
Ho (0.625, 0.375, 0.250)
Si (0.000, 0.000, 0.000)
Si (0.000, 0.000, 0.500)
Si (0.000, 0.500, 0.000)
Si (0.500, 0.000, 0.500)
Ni (0.125, 0.875, 0.250)
Ni (0.137, 0.561, 0.329)
Ni (0.137, 0.809, 0.576)
Ni (0.191, 0.267, 0.329)
Ni (0.191, 0.863, 0.924)
Ni (0.267, 0.191, 0.829)
Ni (0.267, 0.439, 0.076)
Ni (0.439, 0.267, 0.576)
Ni (0.439, 0.863, 0.171)
Ni (0.561, 0.137, 0.829)
Ni (0.561, 0.733, 0.424)
Ni (0.733, 0.561, 0.924)
Ni (0.733, 0.809, 0.171)
Ni (0.809, 0.137, 0.076)
Ni (0.809, 0.733, 0.671)
Ni (0.863, 0.191, 0.424)
Ni (0.863, 0.439, 0.671)
Ni (0.875, 0.125, 0.750)

=====

(2)
Below is an optimized crystal structure of Sm2HoSi3Ni12, with properties calculated at the PBE level.

Results
D(E_F) (states/eV per atom): 0.64
Raw total energy (eV per atom): -5.5096
Formation energy without anion corrections (eV per atom): 0.03
Space group: R-3m

Unit cell a=7.504 b=7.504 c=7.504 alpha=59.93 beta=59.93 gamma=59.93
Fractional coordinates of all 18 atoms:
Sm (0.095, 0.095, 0.095)
Sm (0.905, 0.905, 0.905)
Ho (0.500, 0.500, 0.500)
Si (0.000, 0.500, 0.500)
Si (0.500, 0.000, 0.500)
Si (0.500, 0.500, 0.000)
Ni (0.035, 0.663, 0.663)
Ni (0.148, 0.148, 0.608)
Ni (0.148, 0.608, 0.148)
Ni (0.337, 0.337, 0.965)
Ni (0.337, 0.965, 0.337)
Ni (0.392, 0.852, 0.852)
Ni (0.608, 0.148, 0.148)
Ni (0.663, 0.035, 0.663)
Ni (0.663, 0.663, 0.035)
Ni (0.852, 0.392, 0.852)
Ni (0.852, 0.852, 0.392)
Ni (0.965, 0.337, 0.337)

=====

(3)
Below is an optimized crystal structure of TbHoSiNi, with properties calculated at the PBE level.

Results
D(E_F) (states/eV per atom): 0.40
Distance to the lowest polymorph of the same formula (eV per atom): 0.1643
Raw total energy (eV per atom): -5.5765
Formation energy without anion corrections (eV per atom): -0.47
Space group: F-43m

Unit cell a=4.887 b=4.887 c=4.887 alpha=60.00 beta=60.00 gamma=60.00
Fractional coordinates of all 4 atoms:
Tb (0.000, 0.000, 0.000)
Ho (0.500, 0.500, 0.500)
Si (0.750, 0.750, 0.750)
Ni (0.250, 0.250, 0.250)

=====

(4)
Below is an optimized crystal structure of TbHoSiNi, with properties calculated at the PBE level.

Results
D(E_F) (states/eV per atom): 0.91
Distance to the lowest polymorph of the same formula (eV per atom): 0.0000
Raw total energy (eV per atom): -5.7407
Formation energy without anion corrections (eV per atom): -0.64
Space group: Amm2

Unit cell a=4.046 b=5.653 c=5.653 alpha=41.13 beta=90.00 gamma=90.00
Fractional coordinates of all 4 atoms:
Tb (0.000, 0.000, 0.000)
Ho (0.500, 0.720, 0.720)
Si (0.000, 0.290, 0.290)
Ni (0.500, 0.425, 0.425)

=====

(5)
Below is an optimized crystal structure of HoTh2Si3Ni12, with properties calculated at the PBE level.

Results
D(E_F) (states/eV per atom): 0.44
Raw total energy (eV per atom): -5.8942
Formation energy without anion corrections (eV per atom): -0.06
Space group: R-3m

Unit cell a=7.611 b=7.611 c=7.611 alpha=58.47 beta=58.47 gamma=58.47
Fractional coordinates of all 18 atoms:
Ho (0.000, 0.000, 0.000)
Th (0.400, 0.400, 0.400)
Th (0.600, 0.600, 0.600)
Si (0.000, 0.000, 0.500)
Si (0.000, 0.500, 0.000)
Si (0.500, 0.000, 0.000)
Ni (0.119, 0.645, 0.645)
Ni (0.164, 0.164, 0.529)
Ni (0.164, 0.529, 0.164)
Ni (0.355, 0.355, 0.881)
Ni (0.355, 0.881, 0.355)
Ni (0.471, 0.836, 0.836)
Ni (0.529, 0.164, 0.164)
Ni (0.645, 0.119, 0.645)
Ni (0.645, 0.645, 0.119)
Ni (0.836, 0.471, 0.836)
Ni (0.836, 0.836, 0.471)
Ni (0.881, 0.355, 0.355)

=====

(6)
Below is an optimized crystal structure of HoTmSiNi, with properties calculated at the PBE level.

Results
D(E_F) (states/eV per atom): 0.88
Distance to the lowest polymorph of the same formula (eV per atom): 0.0000
Raw total energy (eV per atom): -5.7202
Formation energy without anion corrections (eV per atom): -0.66
Space group: Amm2

Unit cell a=4.025 b=5.592 c=5.592 alpha=41.10 beta=90.00 gamma=90.00
Fractional coordinates of all 4 atoms:
Ho (0.000, 0.000, 0.000)
Tm (0.500, 0.719, 0.719)
Si (0.000, 0.289, 0.289)
Ni (0.500, 0.425, 0.425)

=====

(7)
Below is an optimized crystal structure of HoTmSiNi, with properties calculated at the PBE level.

Results
D(E_F) (states/eV per atom): 0.33
Distance to the lowest polymorph of the same formula (eV per atom): 0.1581
Raw total energy (eV per atom): -5.5622
Formation energy without anion corrections (eV per atom): -0.50
Space group: F-43m

Unit cell a=4.835 b=4.835 c=4.835 alpha=60.00 beta=60.00 gamma=60.00
Fractional coordinates of all 4 atoms:
Ho (0.000, 0.000, 0.000)
Tm (0.500, 0.500, 0.500)
Si (0.250, 0.250, 0.250)
Ni (0.750, 0.750, 0.750)

=====

(8)
Below is an optimized crystal structure of YHoSiNi, with properties calculated at the PBE level.

Results
D(E_F) (states/eV per atom): 0.36
Distance to the lowest polymorph of the same formula (eV per atom): 0.1656
Raw total energy (eV per atom): -6.0455
Formation energy without anion corrections (eV per atom): -0.48
Space group: F-43m

Unit cell a=4.880 b=4.880 c=4.880 alpha=60.00 beta=60.00 gamma=60.00
Fractional coordinates of all 4 atoms:
Y (0.000, 0.000, 0.000)
Ho (0.500, 0.500, 0.500)
Si (0.750, 0.750, 0.750)
Ni (0.250, 0.250, 0.250)